AlRe | meta-GGA SCAN | PBEsol geometry

Unit cell a=4.236 b=4.236 c=4.908 alpha=64.43 beta=64.43 gamma=60.00
Sites, in units of the cell vectors:
1 Al 0.110 0.110 0.669
2 Re 0.317 0.317 0.048
3 Al 0.890 0.890 0.331
4 Re 0.683 0.683 0.952

Values from the calculation:
- Uncorrected energy: -39.599 eV/atom
- Energy relative to the elements: -0.174 eV/atom